Entry 1:
VASP calculation (PBE) on crystalline TlCo2 at its relaxed geometry.

Computed properties:
total energy: -60.3 eV for the cell shown
total magnetic moment: 11.8 μB/cell
ρ: 10.934 g/cm3

a = 4.6984 Å, b = 4.6984 Å, c = 8.8682 Å
α = 90.00°, β = 90.00°, γ = 90.00°
Space group I4/mcm (No. 140)
Asymmetric unit:
Tl 0.0000 0.0000 0.2500
Co 0.1873 0.3127 0.0000



Entry 2:
VASP calculation (PBE) on crystalline Tl5Co at its relaxed geometry.

Computed properties:
total energy: -16.7 eV for the cell shown
total magnetic moment: 0.9 μB/cell
ρ: 10.520 g/cm3

a = 7.0268 Å, b = 7.0268 Å, c = 3.9897 Å
α = 90.00°, β = 90.00°, γ = 120.00°
Space group P-62m (No. 189)
Asymmetric unit:
Tl 0.0000 0.7280 0.0000
Tl 0.3333 0.6667 0.5000
Co 0.0000 0.0000 0.5000



Entry 3:
VASP calculation (PBE) on crystalline TlCo5 at its relaxed geometry.

Computed properties:
total energy: -142.8 eV for the cell shown
total magnetic moment: 32.1 μB/cell
ρ: 10.579 g/cm3

a = 6.7921 Å, b = 6.7921 Å, c = 6.7921 Å
α = 90.00°, β = 90.00°, γ = 90.00°
Space group F-43m (No. 216)
Asymmetric unit:
Tl 0.0000 0.0000 0.0000
Co 0.1244 0.1244 0.6244
Co 0.2500 0.2500 0.2500



Entry 4:
VASP calculation (PBE) on crystalline TlCo at its relaxed geometry.

Computed properties:
total energy: -51.4 eV for the cell shown
total magnetic moment: 8.9 μB/cell
ρ: 11.464 g/cm3

a = 3.0203 Å, b = 11.3912 Å, c = 6.6517 Å
α = 90.00°, β = 90.00°, γ = 90.00°
Space group Imm2 (No. 44)
Asymmetric unit:
Tl 0.0000 0.0000 0.0000
Tl 0.0000 0.2867 0.1897
Co 0.0000 0.0000 0.5713
Co 0.0000 0.4006 0.8360